[1]
# SrTc3C

SrTc3C at its PBEsol-relaxed geometry (SCAN, Alexandria via LeMat-Bulk).

Unit cell a=4.2220 b=4.2220 c=4.2220 alpha=90.00 beta=90.00 gamma=90.00
Closest atoms and distances in Å follow each position.
Sites, in units of the cell vectors:
Sr1 0.0000 0.0000 0.0000  12 Tc 2.99
Tc1 0.0000 0.5000 0.5000  2 C 2.11
Tc2 0.5000 0.0000 0.5000  2 C 2.11
Tc3 0.5000 0.5000 0.0000  2 C 2.11
C1 0.5000 0.5000 0.5000  6 Tc 2.11

Formation energy: 3.294 eV/f.u.
Space-group type: Pm-3m (221)


[2]
# Sr2TeC

Sr2TeC at its PBEsol-relaxed geometry (SCAN, Alexandria via LeMat-Bulk).

Unit cell a=5.3075 b=5.3075 c=5.3075 alpha=60.00 beta=60.00 gamma=60.00
Closest atoms and distances in Å follow each position.
Sites, in units of the cell vectors:
Sr1 0.2500 0.2500 0.2500  4 Te 3.25, 4 C 3.25
Sr2 0.7500 0.7500 0.7500  4 Te 3.25, 4 C 3.25
Te1 0.0000 0.0000 0.0000  8 Sr 3.25
C1 0.5000 0.5000 0.5000  8 Sr 3.25

Formation energy (no corrections): 53 meV per atom
Space-group type: Fm-3m (225)


[3]
# Sr3TeC

Sr3TeC at its PBEsol-relaxed geometry (SCAN, Alexandria via LeMat-Bulk).

Unit cell a=6.0290 b=6.0290 c=6.0290 alpha=90.00 beta=90.00 gamma=90.00
Closest atoms and distances in Å follow each position.
Sites, in units of the cell vectors:
Sr1 0.0000 0.0000 0.5000  2 Te 3.01
Sr2 0.0000 0.5000 0.0000  2 Te 3.01
Sr3 0.5000 0.0000 0.0000  2 Te 3.01
Te1 0.0000 0.0000 0.0000  6 Sr 3.01
C1 0.5000 0.5000 0.5000  12 Sr 4.26

Formation energy (no corrections): 757 meV per atom
Space-group type: Pm-3m (221)


[4]
# SrTi3C

SrTi3C at its PBEsol-relaxed geometry (SCAN, Alexandria via LeMat-Bulk).

Unit cell a=4.4079 b=4.4079 c=4.4079 alpha=90.00 beta=90.00 gamma=90.00
Closest atoms and distances in Å follow each position.
Sites, in units of the cell vectors:
Sr1 0.0000 0.0000 0.0000  12 Ti 3.12
Ti1 0.0000 0.5000 0.5000  2 C 2.20
Ti2 0.5000 0.0000 0.5000  2 C 2.20
Ti3 0.5000 0.5000 0.0000  2 C 2.20
C1 0.5000 0.5000 0.5000  6 Ti 2.20

Formation energy: 1.641 eV/f.u.
Space-group type: Pm-3m (221)